# KLiS6 GGA-PBE optimized geometry
# Formation energy (no corrections) = -0.3700 eV per atom
# Magnetic moment = 0.00 μB per formula unit
# Raw total energy = -3.84 eV/atom
data_KLiS6
_chemical_formula_sum 'K1 Li1 S6'
_cell_length_a 5.6617
_cell_length_b 6.4619
_cell_length_c 7.1146
_cell_angle_alpha 68.86
_cell_angle_beta 79.24
_cell_angle_gamma 85.94
_symmetry_space_group_name_H-M 'P 1'
_symmetry_Int_Tables_number 1
loop_
_symmetry_equiv_pos_as_xyz
'x,y,z'
loop_
_atom_site_label
_atom_site_type_symbol
_atom_site_fract_x
_atom_site_fract_y
_atom_site_fract_z
K1 K 0.0000 0.0000 0.0000
Li1 Li 0.5000 0.0000 0.5000
S1 S 0.1603 0.2917 0.3023
S2 S 0.2656 0.2874 0.5629
S3 S 0.4467 0.3142 0.0782
S4 S 0.5533 0.6858 0.9218
S5 S 0.7344 0.7126 0.4371
S6 S 0.8397 0.7083 0.6977